# DyYTm2Sc2

Crystalline DyYTm2Sc2 at its relaxed geometry (GGA-PBE, the Alexandria database).

The structure in POSCAR format:
```
DyYTm2Sc2
1.0
-3.582 2.972 2.788
-6.212 -0.970 -6.948
-2.398 -5.640 2.931
Sc Tm Dy Y
4 4 2 2
direct
0.000 0.333 0.750 Sc
0.000 0.667 0.250 Sc
0.500 0.167 0.250 Sc
0.500 0.833 0.750 Sc
0.000 0.667 0.750 Tm
0.000 0.333 0.250 Tm
0.500 0.167 0.750 Tm
0.500 0.833 0.250 Tm
0.500 0.500 0.500 Dy
0.000 0.000 0.000 Dy
0.500 0.500 0.000 Y
0.000 0.000 0.500 Y
```

Values from the calculation:
Calculated total energy, eV per atom: -5.37
Spin magnetization, μB/f.u.: 0.00
ΔH_f (0 K), eV/atom: 0.08

---

# DyYTm3Sc

Crystalline DyYTm3Sc at its relaxed geometry (GGA-PBE, the Alexandria database).

The structure in POSCAR format:
```
DyYTm3Sc
1.0
-5.184 1.203 -0.766
0.516 -3.114 10.487
1.350 6.356 0.844
Y Dy Tm Sc
2 2 6 2
direct
0.668 0.335 0.038 Y
0.332 0.665 0.962 Y
0.929 0.858 0.807 Dy
0.071 0.142 0.193 Dy
0.475 0.949 0.235 Tm
0.772 0.544 0.682 Tm
0.228 0.456 0.318 Tm
0.844 0.688 0.246 Tm
0.525 0.051 0.765 Tm
0.156 0.312 0.754 Tm
0.369 0.738 0.533 Sc
0.631 0.262 0.467 Sc
```

Values from the calculation:
Calculated total energy, eV per atom: -4.94
Spin magnetization, μB/f.u.: 0.00
ΔH_f (0 K), eV/atom: 0.20

---

# Dy5YTm2Sc

Crystalline Dy5YTm2Sc at its relaxed geometry (GGA-PBE, the Alexandria database).

The structure in POSCAR format:
```
Dy5YTm2Sc
1.0
-1.136 0.788 5.332
-8.921 -2.879 -4.320
2.240 -9.838 1.931
Dy Tm Y Sc
10 4 2 2
direct
0.700 0.400 0.207 Dy
0.482 0.963 0.741 Dy
0.378 0.756 0.022 Dy
0.016 0.033 0.016 Dy
0.622 0.244 0.522 Dy
0.984 0.967 0.516 Dy
0.275 0.549 0.320 Dy
0.725 0.451 0.820 Dy
0.518 0.037 0.241 Dy
0.300 0.600 0.707 Dy
0.885 0.771 0.237 Tm
0.111 0.223 0.310 Tm
0.115 0.229 0.737 Tm
0.889 0.777 0.810 Tm
0.408 0.816 0.455 Y
0.592 0.184 0.955 Y
0.805 0.609 0.515 Sc
0.195 0.391 0.015 Sc
```

Values from the calculation:
Calculated total energy, eV per atom: -4.80
Spin magnetization, μB/f.u.: 0.00
ΔH_f (0 K), eV/atom: 0.17

---

What is the ΔH_f (0 K) in the third record?
0.17 eV/atom

---

Which value of spin magnetization does entry 2 give?
0.00 μB/f.u.

---

Among the records above, which one has the highest calculated total energy?
Dy5YTm2Sc